Model one:
VASP calculation (GGA-PBE) on a relaxed BaNiBiPb2 crystal.

Summary:
space group = P4/mmm, No. 123
size of the total moment = 0.00 μB per atom

extended XYZ file:
```
5
Lattice="5.214 0.000 0.000 0.000 5.214 0.000 0.000 0.000 5.709" Properties=species:S:1:pos:R:3 pbc="T T T"
Ba 0.000 0.000 0.000
Ni 2.607 2.607 2.854
Bi 2.607 2.607 0.000
Pb 0.000 2.607 2.854
Pb 2.607 0.000 2.854
```

---

Model two:
VASP calculation (GGA-PBE) on a relaxed BaNiBiPb2 crystal.

Summary:
space group = P4/mmm, No. 123
size of the total moment = 0.00 μB per atom

extended XYZ file:
```
5
Lattice="5.215 0.000 0.000 0.000 5.215 0.000 0.000 0.000 5.722" Properties=species:S:1:pos:R:3 pbc="T T T"
Ba 0.000 0.000 0.000
Ni 0.000 0.000 2.861
Bi 2.608 2.608 0.000
Pb 0.000 2.608 2.861
Pb 2.608 0.000 2.861
```

---

model two is the most stable structure; the next one sits 0.007 eV/atom above it.

---

Model one:
VASP calculation (GGA-PBE) on a relaxed BaBi4O8 crystal.

Summary:
space group = R-3m, No. 166
size of the total moment = 0.06 μB per atom

extended XYZ file:
```
13
Lattice="3.559 2.055 6.474 -3.559 2.055 6.474 0.000 -4.109 6.474" Properties=species:S:1:pos:R:3 pbc="T T T"
Ba 0.000 0.000 0.000
Bi -3.559 0.000 9.711
Bi -1.779 1.027 3.237
Bi 1.779 1.027 3.237
Bi 0.000 0.000 9.711
O -1.865 -1.077 10.900
O 0.000 0.000 4.308
O 0.000 -2.153 8.522
O -1.865 1.077 8.522
O 1.865 -1.077 10.900
O 0.000 2.153 10.900
O 0.000 0.000 15.114
O 1.865 1.077 8.522
```

---

Model two:
VASP calculation (GGA-PBE) on a relaxed BaBi4O8 crystal.

Summary:
space group = P-31m, No. 162
size of the total moment = 0.00 μB per atom

extended XYZ file:
```
13
Lattice="6.498 0.000 0.000 -3.249 5.628 0.000 0.000 0.000 7.682" Properties=species:S:1:pos:R:3 pbc="T T T"
Ba 0.000 0.000 0.000
Bi 0.000 3.752 2.073
Bi 0.000 3.752 5.609
Bi 3.249 1.876 2.073
Bi 3.249 1.876 5.609
O -1.063 1.841 2.009
O -2.186 3.786 5.673
O 2.126 0.000 2.009
O 1.063 1.841 5.673
O 0.000 3.752 0.000
O 3.249 1.876 0.000
O 4.372 0.000 5.673
O 2.186 3.786 2.009
```

---

model one is the most stable structure; the next one sits 0.097 eV/atom above it.

---

Model one:
VASP calculation (GGA-PBE) on a relaxed Ba2BiO5 crystal.

Summary:
space group = P4/mmm, No. 123
size of the total moment = 0.13 μB per atom

extended XYZ file:
```
8
Lattice="6.095 0.000 0.000 0.000 6.095 0.000 0.000 0.000 4.213" Properties=species:S:1:pos:R:3 pbc="T T T"
Ba 0.000 3.048 0.000
Ba 3.048 0.000 0.000
Bi 0.000 0.000 2.106
O 0.000 0.000 0.000
O 1.491 1.491 2.106
O 1.491 4.605 2.106
O 4.605 1.491 2.106
O 4.605 4.605 2.106
```

---

Model two:
VASP calculation (GGA-PBE) on a relaxed Ba2BiO5 crystal.

Summary:
space group = Pnma, No. 62
size of the total moment = 0.13 μB per atom

extended XYZ file:
```
32
Lattice="7.810 0.000 0.000 0.000 6.095 0.000 0.000 0.000 11.814" Properties=species:S:1:pos:R:3 pbc="T T T"
Ba 0.116 1.524 2.590
Ba 1.317 4.571 4.974
Ba 2.588 1.524 10.881
Ba 3.789 4.571 8.497
Ba 4.021 1.524 3.317
Ba 5.222 4.571 0.933
Ba 6.493 1.524 6.840
Ba 7.694 4.571 9.224
Bi 1.407 4.571 0.788
Bi 2.497 1.524 6.696
Bi 5.312 4.571 5.119
Bi 6.402 1.524 11.026
O 0.000 0.000 0.000
O 0.000 3.047 0.000
O 0.129 4.571 2.447
O 1.261 3.112 7.330
O 1.261 6.031 7.330
O 1.691 1.524 4.742
O 2.214 4.571 10.649
O 2.644 0.064 1.423
O 2.644 2.983 1.423
O 3.776 1.524 8.354
O 3.905 0.000 5.907
O 3.905 3.047 5.907
O 4.034 4.571 3.460
O 5.166 3.112 10.391
O 5.166 6.031 10.391
O 5.596 1.524 1.165
O 6.119 4.571 7.072
O 6.548 0.064 4.484
O 6.548 2.983 4.484
O 7.681 1.524 9.367
```

---

model two is the most stable structure; the next one sits 0.087 eV/atom above it.

---

Model one:
VASP calculation (GGA-PBE) on a relaxed Ba3BiO crystal.

Summary:
space group = Pm-3m, No. 221
size of the total moment = 0.00 μB per atom

extended XYZ file:
```
5
Lattice="5.516 0.000 0.000 0.000 5.516 0.000 0.000 0.000 5.516" Properties=species:S:1:pos:R:3 pbc="T T T"
Ba 0.000 0.000 2.758
Ba 0.000 2.758 0.000
Ba 2.758 0.000 0.000
Bi 2.758 2.758 2.758
O 0.000 0.000 0.000
```

---

Model two:
VASP calculation (GGA-PBE) on a relaxed Ba3BiO crystal.

Summary:
space group = P2_1/m, No. 11
size of the total moment = 0.18 μB per atom

extended XYZ file:
```
10
Lattice="5.966 0.000 0.000 0.000 8.064 0.000 -2.892 0.000 9.167" Properties=species:S:1:pos:R:3 pbc="T T T"
Ba -0.195 2.016 1.027
Ba 0.084 4.042 6.021
Ba 0.084 8.053 6.021
Ba 2.991 0.010 3.145
Ba 2.991 4.022 3.145
Ba 3.270 6.048 8.139
Bi -0.009 6.048 2.574
Bi 3.083 2.016 6.592
O -0.390 6.048 7.344
O 3.464 2.016 1.823
```

---

model one is the most stable structure; the next one sits 0.115 eV/atom above it.

---

Model one:
VASP calculation (GGA-PBE) on a relaxed Ba2BiO crystal.

Summary:
space group = C2/c, No. 15
size of the total moment = 0.00 μB per atom

extended XYZ file:
```
8
Lattice="3.928 -6.635 0.000 3.928 6.635 0.000 -2.963 0.000 5.790" Properties=species:S:1:pos:R:3 pbc="T T T"
Ba 1.240 1.267 0.691
Ba -0.242 -1.267 3.586
Ba 5.135 1.267 2.204
Ba 3.653 -1.267 5.099
Bi 1.706 2.403 4.343
Bi 3.188 -2.403 1.448
O 3.188 6.559 1.448
O 1.706 -6.559 4.343
```

---

Model two:
VASP calculation (GGA-PBE) on a relaxed Ba2BiO crystal.

Summary:
space group = I-4m2, No. 119
size of the total moment = 0.00 μB per atom

extended XYZ file:
```
4
Lattice="-2.053 2.053 7.990 2.053 -2.053 7.990 2.053 2.053 -7.990" Properties=species:S:1:pos:R:3 pbc="T T T"
Ba 0.000 0.000 2.389
Ba 0.000 0.000 13.591
Bi 0.000 0.000 7.990
O 0.000 2.053 3.995
```

---

model one is the most stable structure; the next one sits 0.018 eV/atom above it.

---

Model one:
VASP calculation (GGA-PBE) on a relaxed Ba2BiO crystal.

Summary:
space group = R-3m, No. 166
size of the total moment = 0.00 μB per atom

extended XYZ file:
```
4
Lattice="2.085 1.204 8.379 -2.085 1.204 8.379 0.000 -2.408 8.379" Properties=species:S:1:pos:R:3 pbc="T T T"
Ba 0.000 0.000 5.726
Ba 0.000 0.000 19.413
Bi 0.000 0.000 0.000
O 0.000 0.000 12.569
```

---

Model two:
VASP calculation (GGA-PBE) on a relaxed Ba2BiO crystal.

Summary:
space group = Fm-3m, No. 225
size of the total moment = 0.25 μB per atom

extended XYZ file:
```
4
Lattice="0.000 4.062 4.062 4.062 0.000 4.062 4.062 4.062 0.000" Properties=species:S:1:pos:R:3 pbc="T T T"
Ba 2.031 2.031 2.031
Ba 6.093 6.093 6.093
Bi 0.000 0.000 0.000
O 4.062 4.062 4.062
```

---

Model three:
VASP calculation (GGA-PBE) on a relaxed Ba2BiO crystal.

Summary:
space group = I-42d, No. 122
size of the total moment = 0.25 μB per atom

extended XYZ file:
```
8
Lattice="-3.960 3.960 4.645 3.960 -3.960 4.645 3.960 3.960 -4.645" Properties=species:S:1:pos:R:3 pbc="T T T"
Ba 1.980 1.142 -1.161
Ba 2.818 -1.980 5.806
Ba 1.980 2.818 3.484
Ba 1.142 5.940 1.161
Bi 3.960 0.000 2.322
Bi 0.000 0.000 4.645
O 0.000 0.000 0.000
O 0.000 3.960 2.322
```

---

model three is the most stable structure; the next one sits 0.046 eV/atom above it.

---

Model one:
VASP calculation (GGA-PBE) on a relaxed BaBiO crystal.

Summary:
space group = P4/nmm, No. 129
size of the total moment = 0.08 μB per atom

extended XYZ file:
```
6
Lattice="4.424 0.000 0.000 0.000 4.424 0.000 0.000 0.000 9.839" Properties=species:S:1:pos:R:3 pbc="T T T"
Ba 1.106 1.106 1.247
Ba 3.318 3.318 8.591
Bi 1.106 1.106 5.431
Bi 3.318 3.318 4.407
O 1.106 3.318 0.000
O 3.318 1.106 0.000
```

---

Model two:
VASP calculation (GGA-PBE) on a relaxed BaBiO crystal.

Summary:
space group = Cmc2_1, No. 36
size of the total moment = 0.00 μB per atom

extended XYZ file:
```
6
Lattice="1.987 -7.374 0.000 1.987 7.374 0.000 0.000 0.000 6.123" Properties=species:S:1:pos:R:3 pbc="T T T"
Ba 1.987 4.920 3.061
Ba 1.987 -4.920 0.000
Bi 1.987 1.079 3.031
Bi 1.987 -1.079 6.093
O 1.987 2.773 4.535
O 1.987 -2.773 1.473
```

---

Model three:
VASP calculation (GGA-PBE) on a relaxed BaBiO crystal.

Summary:
space group = P4mm, No. 99
size of the total moment = 0.00 μB per atom

extended XYZ file:
```
6
Lattice="3.929 0.000 0.000 0.000 3.929 0.000 0.000 0.000 10.499" Properties=species:S:1:pos:R:3 pbc="T T T"
Ba 0.000 0.000 0.000
Ba 1.964 1.964 2.832
Bi 0.000 0.000 5.853
Bi 1.964 1.964 7.492
O 0.000 0.000 2.577
O 1.964 1.964 0.251
```

---

model three is the most stable structure; the next one sits 0.053 eV/atom above it.

---

Model one:
VASP calculation (GGA-PBE) on a relaxed Ba5Bi2O2 crystal.

Summary:
space group = C2/m, No. 12
size of the total moment = 0.00 μB per atom

extended XYZ file:
```
9
Lattice="7.268 -2.859 0.000 7.268 2.859 0.000 -2.231 0.000 7.875" Properties=species:S:1:pos:R:3 pbc="T T T"
Ba 0.000 0.000 0.000
Ba 0.864 0.000 4.523
Ba 4.594 0.000 0.744
Ba 7.710 0.000 7.131
Ba 11.440 0.000 3.352
Bi 4.298 0.000 5.507
Bi 8.006 0.000 2.369
O 0.355 0.000 7.015
O 11.949 0.000 0.860
```

---

Model two:
VASP calculation (GGA-PBE) on a relaxed Ba5Bi2O2 crystal.

Summary:
space group = P4/mmm, No. 123
size of the total moment = 0.00 μB per atom

extended XYZ file:
```
9
Lattice="5.457 0.000 0.000 0.000 5.457 0.000 0.000 0.000 10.770" Properties=species:S:1:pos:R:3 pbc="T T T"
Ba 0.000 0.000 0.000
Ba 0.000 2.728 3.030
Ba 0.000 2.728 7.740
Ba 2.728 0.000 3.030
Ba 2.728 0.000 7.740
Bi 2.728 2.728 0.000
Bi 2.728 2.728 5.385
O 0.000 0.000 2.605
O 0.000 0.000 8.165
```

---

model two is the most stable structure; the next one sits 0.038 eV/atom above it.